ScMn2Cu | GGA-PBE | relaxed

Summary:
The value obtained for the energy above the most stable polymorph in this dataset is 0.285 eV/atom. The calculation puts the formation energy at 280 meV per atom.

Lattice parameters (Å, degrees): 2.9142 2.9142 25.1451 90.00 90.00 120.00
Space group R3m (No. 160, hexagonal axes)
Inequivalent atoms, fractional coordinates:
Sc  0.0000  0.0000  0.0000 x3
Mn  0.0000  0.0000  0.2436 x3
Mn  0.0000  0.0000  0.5034 x3
Cu  0.0000  0.0000  0.7578 x3

ScMnCu | GGA-PBE | relaxed

Summary:
The calculation puts the formation energy at 260 meV per atom.

Lattice parameters (Å, degrees): 6.0776 6.0776 6.0776 90.00 90.00 90.00
Space group F-43m (No. 216)
Inequivalent atoms, fractional coordinates:
Sc  0.0000  0.0000  0.0000 x4
Mn  0.0000  0.0000  0.5000 x4
Cu  0.2500  0.2500  0.7500 x4

ScMn2Cu | GGA-PBE | relaxed

Summary:
The value obtained for the energy above the most stable polymorph in this dataset is 0.181 eV/atom. The calculation puts the formation energy at 175 meV per atom.

Lattice parameters (Å, degrees): 3.0976 3.0976 6.4543 90.00 90.00 90.00
Space group P4/mmm (No. 123)
Inequivalent atoms, fractional coordinates:
Sc  0.0000  0.0000  0.0000 x1
Mn  0.5000  0.5000  0.2843 x2
Cu  0.0000  0.0000  0.5000 x1

Sc2MnCu | GGA-PBE | relaxed

Summary:
The calculation puts the formation energy at 495 meV per atom.

Lattice parameters (Å, degrees): 4.0601 4.0601 18.6851 90.00 90.00 90.00
Space group I-42d (No. 122)
Inequivalent atoms, fractional coordinates:
Sc  0.2477  0.2500  0.1250 x8
Mn  0.0000  0.0000  0.5000 x4
Cu  0.0000  0.0000  0.0000 x4

Sc2MnCu | GGA-PBE | relaxed

Summary:
The calculation puts the formation energy at 125 meV per atom.

Lattice parameters (Å, degrees): 6.5022 6.5022 6.5022 90.00 90.00 90.00
Space group F-43m (No. 216)
Inequivalent atoms, fractional coordinates:
Sc  0.0000  0.0000  0.0000 x4
Sc  0.2500  0.2500  0.2500 x4
Mn  0.2500  0.2500  0.7500 x4
Cu  0.0000  0.0000  0.5000 x4

ScMn2Cu | GGA-PBE | relaxed

Summary:
The value obtained for the energy above the most stable polymorph in this dataset is 0.157 eV/atom. The calculation puts the formation energy at 151 meV per atom.

Lattice parameters (Å, degrees): 3.8990 3.8990 7.9315 90.00 90.00 90.00
Space group I4/mmm (No. 139)
Inequivalent atoms, fractional coordinates:
Sc  0.0000  0.0000  0.0000 x2
Mn  0.0000  0.5000  0.2500 x4
Cu  0.0000  0.0000  0.5000 x2

Sc2Mn2Cu | GGA-PBE | relaxed

Summary:
The calculation puts the formation energy at 47 meV per atom.

Lattice parameters (Å, degrees): 6.3211 6.3211 4.0118 90.00 90.00 90.00
Space group P4/mbm (No. 127)
Inequivalent atoms, fractional coordinates:
Sc  0.1806  0.3194  0.0000 x4
Mn  0.1164  0.6164  0.5000 x4
Cu  0.0000  0.0000  0.5000 x2

ScMn2Cu2 | GGA-PBE | relaxed

Summary:
The value obtained for the energy above the most stable polymorph in this dataset is 0.071 eV/atom. The calculation puts the formation energy at 212 meV per atom.

Lattice parameters (Å, degrees): 3.8114 3.8114 9.8644 90.00 90.00 90.00
Space group I4/mmm (No. 139)
Inequivalent atoms, fractional coordinates:
Sc  0.0000  0.0000  0.0000 x2
Mn  0.0000  0.0000  0.4033 x4
Cu  0.0000  0.5000  0.2500 x4

ScMn2Cu | GGA-PBE | relaxed

Summary:
The value obtained for the energy above the most stable polymorph in this dataset is 0.396 eV/atom. The calculation puts the formation energy at 391 meV per atom.

Lattice parameters (Å, degrees): 7.0297 7.0297 5.3542 90.00 90.00 90.00
Space group I-42d (No. 122)
Inequivalent atoms, fractional coordinates:
Sc  0.0000  0.0000  0.0000 x4
Mn  0.2091  0.2500  0.6250 x8
Cu  0.0000  0.0000  0.5000 x4

ScMn2Cu | GGA-PBE | relaxed

Summary:
The value obtained for the energy above the most stable polymorph in this dataset is 0.154 eV/atom. The calculation puts the formation energy at 149 meV per atom.

Lattice parameters (Å, degrees): 3.2775 4.3182 8.8112 90.00 90.00 90.00
Space group Immm (No. 71)
Inequivalent atoms, fractional coordinates:
Sc  0.0000  0.0000  0.0000 x2
Mn  0.0000  0.5000  0.2307 x4
Cu  0.0000  0.0000  0.5000 x2

ScMn2Cu | GGA-PBE | relaxed

Summary:
The value obtained for the energy above the most stable polymorph in this dataset is 0.105 eV/atom. The calculation puts the formation energy at 100 meV per atom.

Lattice parameters (Å, degrees): 3.9056 3.9056 3.8661 90.00 90.00 90.00
Space group P4/mmm (No. 123)
Inequivalent atoms, fractional coordinates:
Sc  0.0000  0.0000  0.0000 x1
Mn  0.0000  0.5000  0.5000 x2
Cu  0.5000  0.5000  0.0000 x1

Sc2MnCu | GGA-PBE | relaxed

Summary:
The calculation puts the formation energy at -22 meV per atom.

Lattice parameters (Å, degrees): 10.3538 3.1315 4.6634 90.00 109.15 90.00
Space group Cm (No. 8)
Inequivalent atoms, fractional coordinates:
Sc  0.0000  0.0000  0.0000 x2
Sc  0.2102  0.0000  0.6558 x2
Mn  0.2624  0.5000  0.1926 x2
Cu  0.4633  0.0000  0.4738 x2

ScMnCu | GGA-PBE | relaxed

Summary:
The calculation puts the formation energy at 64 meV per atom.

Lattice parameters (Å, degrees): 4.3032 4.3032 3.1103 90.00 90.00 120.00
Space group P-6m2 (No. 187)
Inequivalent atoms, fractional coordinates:
Sc  0.0000  0.0000  0.0000 x1
Mn  0.3333  0.6667  0.5000 x1
Cu  0.6667  0.3333  0.5000 x1

ScMn2Cu2 | GGA-PBE | relaxed

Summary:
The value obtained for the energy above the most stable polymorph in this dataset is 0.000 eV/atom. The calculation puts the formation energy at 141 meV per atom.

Lattice parameters (Å, degrees): 7.2578 7.2578 2.8271 90.00 90.00 90.00
Space group P4/mbm (No. 127)
Inequivalent atoms, fractional coordinates:
Sc  0.0000  0.0000  0.0000 x2
Mn  0.1391  0.3609  0.0000 x4
Cu  0.1563  0.6563  0.5000 x4

ScMn2Cu | GGA-PBE | relaxed

Summary:
The value obtained for the energy above the most stable polymorph in this dataset is 0.218 eV/atom. The calculation puts the formation energy at 212 meV per atom.

Lattice parameters (Å, degrees): 6.1459 6.1459 6.1459 90.00 90.00 90.00
Space group Fm-3m (No. 225)
Inequivalent atoms, fractional coordinates:
Sc  0.0000  0.0000  0.0000 x4
Mn  0.2500  0.2500  0.2500 x8
Cu  0.0000  0.0000  0.5000 x4

ThScMnCu | GGA-PBE | relaxed

Summary:
The calculation puts the formation energy at 10 meV per atom.

Lattice parameters (Å, degrees): 6.8272 6.8272 6.8272 90.00 90.00 90.00
Space group F-43m (No. 216)
Inequivalent atoms, fractional coordinates:
Th  0.0000  0.0000  0.0000 x4
Sc  0.0000  0.0000  0.5000 x4
Mn  0.2500  0.2500  0.2500 x4
Cu  0.2500  0.2500  0.7500 x4

ScTiMnCu | GGA-PBE | relaxed

Summary:
The calculation puts the formation energy at -56 meV per atom.

Lattice parameters (Å, degrees): 6.2066 6.2066 6.2066 90.00 90.00 90.00
Space group F-43m (No. 216)
Inequivalent atoms, fractional coordinates:
Sc  0.0000  0.0000  0.0000 x4
Ti  0.0000  0.0000  0.5000 x4
Mn  0.2500  0.2500  0.7500 x4
Cu  0.2500  0.2500  0.2500 x4

Y2ScMnCu | GGA-PBE | relaxed

Summary:
The calculation puts the formation energy at 393 meV per atom.

Lattice parameters (Å, degrees): 5.1425 5.1425 4.7389 90.00 90.00 90.00
Space group P4/mmm (No. 123)
Inequivalent atoms, fractional coordinates:
Y  0.0000  0.5000  0.0000 x2
Sc  0.0000  0.0000  0.5000 x1
Mn  0.0000  0.0000  0.0000 x1
Cu  0.5000  0.5000  0.5000 x1

MnCuSe2 | GGA-PBE | relaxed

Summary:
Its uncorrected formation energy is 53 meV per atom.

Lattice parameters (Å, degrees): 3.0591 21.7608 3.9860 90.00 90.00 90.00
Space group Cmcm (No. 63)
Inequivalent atoms, fractional coordinates:
Mn  0.0000  0.1802  0.2500 x4
Cu  0.0000  0.4667  0.2500 x4
Se  0.0000  0.2926  0.2500 x4
Se  0.0000  0.4081  0.7500 x4

MnCu3Se | GGA-PBE | relaxed

Summary:
Its uncorrected formation energy is 751 meV per atom. The value obtained for the energy above the most stable polymorph in this dataset is 0.000 eV/atom.

Lattice parameters (Å, degrees): 4.5654 4.5654 4.5654 90.00 90.00 90.00
Space group Pm-3m (No. 221)
Inequivalent atoms, fractional coordinates:
Mn  0.0000  0.0000  0.0000 x1
Cu  0.0000  0.5000  0.5000 x3
Se  0.5000  0.5000  0.5000 x1

Number 1: V 15.4 A^3/atom, energy -82.944 eV for the cell shown, density of states at the Fermi level 0.942 states/eV per atom. Number 2: V 18.7 A^3/atom, energy -75.270 eV for the cell shown, density of states at the Fermi level 0.775 states/eV per atom. Number 3: V 15.5 A^3/atom, energy -28.065 eV for the cell shown, density of states at the Fermi level 1.136 states/eV per atom. Number 4: V 19.3 A^3/atom, energy -95.802 eV for the cell shown, density of states at the Fermi level 1.200 states/eV per atom. Number 5: V 17.2 A^3/atom, energy -101.715 eV for the cell shown, density of states at the Fermi level 1.423 states/eV per atom. Number 6: V 15.1 A^3/atom, energy -56.322 eV for the cell shown, density of states at the Fermi level 1.212 states/eV per atom. Number 7: V 16.0 A^3/atom, energy -69.725 eV for the cell shown, density of states at the Fermi level 1.269 states/eV per atom. Number 8: V 14.3 A^3/atom, energy -63.608 eV for the cell shown, density of states at the Fermi level 0.928 states/eV per atom. Number 9: V 16.5 A^3/atom, energy -108.816 eV for the cell shown, density of states at the Fermi level 0.715 states/eV per atom. Number 10: V 15.6 A^3/atom, energy -56.343 eV for the cell shown, density of states at the Fermi level 0.820 states/eV per atom. Number 11: V 14.7 A^3/atom, energy -28.368 eV for the cell shown, density of states at the Fermi level 0.911 states/eV per atom. Number 12: V 17.9 A^3/atom, energy -52.031 eV for the cell shown, density of states at the Fermi level 0.904 states/eV per atom. Number 13: V 16.6 A^3/atom, energy -19.404 eV for the cell shown, density of states at the Fermi level 1.070 states/eV per atom. Number 14: V 14.9 A^3/atom, energy -64.319 eV for the cell shown, density of states at the Fermi level 0.809 states/eV per atom. Number 15: V 14.5 A^3/atom, energy -111.671 eV for the cell shown, density of states at the Fermi level 0.799 states/eV per atom. Number 16: V 19.9 A^3/atom, energy -107.912 eV for the cell shown, density of states at the Fermi level 1.158 states/eV per atom. Number 17: V 14.9 A^3/atom, energy -110.859 eV for the cell shown, density of states at the Fermi level 0.955 states/eV per atom. Number 18: V 25.1 A^3/atom, energy -30.558 eV for the cell shown, density of states at the Fermi level 1.486 states/eV per atom. Number 19: V 16.6 A^3/atom, energy -80.091 eV for the cell shown, density of states at the Fermi level 0.755 states/eV per atom. Number 20: V 19.0 A^3/atom, energy -21.188 eV for the cell shown, density of states at the Fermi level 0.870 states/eV per atom.